This record from Alexandria via LeMat-Bulk describes a relaxed structure of Rb3SrCa. The functional is PBE.

Space group: Pm-3m
Theoretical density: 1.25 g/cm³
Energy relative to the elements: 56.7 kJ/mol of atoms
Energy: -0.73 eV per atom
Relative energy among the computed polymorphs: 0.103 eV/atom

Unit cell a=7.991 b=7.991 c=7.991 alpha=90.00 beta=90.00 gamma=90.00
Atoms (fractional coordinates):
Sr 0.000 0.000 0.000
Ca 0.500 0.500 0.500
Rb 0.000 0.500 0.000
Rb 0.000 0.000 0.500
Rb 0.500 0.000 0.000

This record from Alexandria via LeMat-Bulk describes a relaxed structure of Rb2Sr2Ca. The functional is PBE.

Space group: P4/mbm
Theoretical density: 1.83 g/cm³
Energy relative to the elements: 29.9 kJ/mol of atoms
Energy: -1.15 eV per atom

Unit cell a=10.159 b=10.159 c=6.792 alpha=90.00 beta=90.00 gamma=90.00
Atoms (fractional coordinates):
Sr 0.356 0.856 0.000
Sr 0.856 0.644 0.000
Sr 0.644 0.144 0.000
Sr 0.144 0.356 0.000
Ca 0.000 0.000 0.000
Ca 0.500 0.500 0.000
Rb 0.168 0.668 0.500
Rb 0.668 0.832 0.500
Rb 0.832 0.332 0.500
Rb 0.332 0.168 0.500

This record from Alexandria via LeMat-Bulk describes a relaxed structure of RbSr2Ca2. The functional is PBE.

Space group: P4/mbm
Theoretical density: 1.98 g/cm³
Energy relative to the elements: 14.6 kJ/mol of atoms
Energy: -1.52 eV per atom
Relative energy among the computed polymorphs: 0.012 eV/atom

Unit cell a=11.713 b=11.713 c=4.164 alpha=90.00 beta=90.00 gamma=90.00
Atoms (fractional coordinates):
Sr 0.379 0.879 0.000
Sr 0.879 0.621 0.000
Sr 0.621 0.121 0.000
Sr 0.121 0.379 0.000
Ca 0.170 0.670 0.500
Ca 0.670 0.830 0.500
Ca 0.830 0.330 0.500
Ca 0.330 0.170 0.500
Rb 0.000 0.000 0.000
Rb 0.500 0.500 0.000

This record from Alexandria via LeMat-Bulk describes a relaxed structure of RbSrCa3. The functional is PBE.

Space group: Pm-3m
Theoretical density: 1.42 g/cm³
Energy relative to the elements: 62.5 kJ/mol of atoms
Energy: -1.08 eV per atom
Relative energy among the computed polymorphs: 0.000 eV/atom

Unit cell a=6.995 b=6.995 c=6.995 alpha=90.00 beta=90.00 gamma=90.00
Last column: magnetic moment on the atom in μB.
Atoms (fractional coordinates):
Sr 0.000 0.000 0.000  0.08
Ca 0.000 0.500 0.000  0.05
Ca 0.000 0.000 0.500  0.05
Ca 0.500 0.000 0.000  0.04
Rb 0.500 0.500 0.500  0.01

This record from Alexandria via LeMat-Bulk describes a relaxed structure of RbSr2Ca2. The functional is PBE.

Space group: I4/mmm
Theoretical density: 1.87 g/cm³
Energy relative to the elements: 28.4 kJ/mol of atoms
Energy: -1.37 eV per atom
Relative energy among the computed polymorphs: 0.155 eV/atom

Unit cell a=5.563 b=5.563 c=10.556 alpha=74.72 beta=74.72 gamma=90.00
Atoms (fractional coordinates):
Sr 0.750 0.250 0.500
Sr 0.250 0.750 0.500
Ca 0.400 0.400 0.200
Ca 0.600 0.600 0.800
Rb 0.000 0.000 0.000

This record from Alexandria via LeMat-Bulk describes a relaxed structure of RbSrCa2Tl. The functional is PBE.

Space group: P4/mmm
Theoretical density: 2.97 g/cm³
Energy relative to the elements: -3.3 kJ/mol of atoms
Energy: -1.84 eV per atom

Unit cell a=6.244 b=6.244 c=6.554 alpha=90.00 beta=90.00 gamma=90.00
Atoms (fractional coordinates):
Sr 0.000 0.000 0.500
Tl 0.000 0.000 0.000
Ca 0.000 0.500 0.000
Ca 0.500 0.000 0.000
Rb 0.500 0.500 0.500

This record from Alexandria via LeMat-Bulk describes a relaxed structure of Rb2SrCaZn. The functional is PBE.

Space group: P4/mmm
Theoretical density: 2.13 g/cm³
Energy relative to the elements: 22.6 kJ/mol of atoms
Energy: -1.14 eV per atom

Unit cell a=6.786 b=6.176 c=6.786 alpha=90.00 beta=90.00 gamma=90.00
Atoms (fractional coordinates):
Sr 0.500 0.500 0.500
Zn 0.000 0.000 0.000
Ca 0.000 0.500 0.000
Rb 0.000 0.000 0.500
Rb 0.500 0.000 0.000

This record from Alexandria via LeMat-Bulk describes a relaxed structure of Rb2CaTa. The functional is PBE.

Space group: Fm-3m
Theoretical density: 3.54 g/cm³
Energy relative to the elements: 147.6 kJ/mol of atoms
Energy: -2.42 eV per atom
Relative energy among the computed polymorphs: 0.083 eV/atom

Unit cell a=6.382 b=6.382 c=6.382 alpha=60.00 beta=60.00 gamma=60.00
Last column: magnetic moment on the atom in μB.
Atoms (fractional coordinates):
Ca 0.000 0.000 0.000  0.07
Rb 0.250 0.250 0.250  0.04
Rb 0.750 0.750 0.750  0.04
Ta 0.500 0.500 0.500  2.34